This record from Alexandria via LeMat-Bulk describes a geometry-optimized TiIBr3 structure. The functional is PBE.

Summary:
SG	Pm (6)
energy relative to the elements, uncorrected	-1.09	eV/atom
total energy	-3.978	eV/atom
total magnetic moment	0.0	μB per formula unit

Unit cell a=7.160 b=9.052 c=7.529 alpha=90.00 beta=90.09 gamma=90.00
Fractional positions:
Ti 0.000 0.000 0.000
Ti 0.500 0.500 0.358
I 0.103 0.000 0.324
I 0.602 0.500 0.034
Br 0.117 0.212 0.860
Br 0.117 0.788 0.860
Br 0.174 0.500 0.374
Br 0.617 0.289 0.498
Br 0.617 0.711 0.498
Br 0.674 0.000 0.984


This record from Alexandria via LeMat-Bulk describes a geometry-optimized NaSbPb structure. The functional is PBE.

Summary:
SG	C2/m (12)
energy relative to the elements, uncorrected	-0.19	eV/atom
total energy	-3.235	eV/atom
total magnetic moment	0.0	μB per formula unit

Unit cell a=4.546 b=4.546 c=11.541 alpha=101.40 beta=101.40 gamma=59.95
Fractional positions:
Na 0.000 0.000 0.000
Na 0.500 0.500 0.500
Sb 0.107 0.107 0.318
Sb 0.893 0.893 0.682
Pb 0.271 0.271 0.815
Pb 0.729 0.729 0.185


This record from Alexandria via LeMat-Bulk describes a geometry-optimized Rb2NaCdHg structure. The functional is PBE.

Summary:
DFT formation energy	74	meV per atom
SG	P4/mmm (123)
total energy	-0.820	eV/atom
total magnetic moment	0.0	μB per formula unit

Unit cell a=7.045 b=7.045 c=5.920 alpha=90.00 beta=90.00 gamma=90.00
Fractional positions:
Rb 0.000 0.500 0.000
Rb 0.500 0.000 0.000
Na 0.000 0.000 0.500
Cd 0.000 0.000 0.000
Hg 0.500 0.500 0.500


This record from Alexandria via LeMat-Bulk describes a geometry-optimized AlZn structure. The functional is PBE.

Summary:
DFT formation energy	17	meV per atom
SG	Cm (8)
total energy	-2.492	eV/atom
total magnetic moment	0.0	μB per formula unit

Unit cell a=6.384 b=6.384 c=5.663 alpha=105.00 beta=105.00 gamma=25.39
Fractional positions:
Al 0.000 0.000 0.000
Al 0.000 0.000 0.499
Al 0.671 0.671 0.835
Zn 0.333 0.333 0.665
Zn 0.334 0.334 0.168
Zn 0.668 0.668 0.334


This record from Alexandria via LeMat-Bulk describes a geometry-optimized SrLaSb4 structure. The functional is PBE.

Summary:
SG	F-43m (216)
energy relative to the elements, uncorrected	-0.40	eV/atom
total energy	-4.251	eV/atom
total magnetic moment	0.0	μB per formula unit

Unit cell a=6.414 b=6.414 c=6.414 alpha=60.00 beta=60.00 gamma=60.00
Fractional positions:
Sr 0.000 0.000 0.000
La 0.750 0.750 0.750
Sb 0.375 0.375 0.375
Sb 0.375 0.375 0.875
Sb 0.375 0.875 0.375
Sb 0.875 0.375 0.375


This record from Alexandria via LeMat-Bulk describes a geometry-optimized Tl12As3P5 structure. The functional is PBE.

Summary:
DFT formation energy	240	meV per atom
SG	Ia-3d (230)
total energy	-3.229	eV/atom
total magnetic moment	0.0	μB per formula unit

Unit cell a=14.637 b=14.637 c=14.637 alpha=109.47 beta=109.47 gamma=109.47
Fractional positions:
Tl 0.049 0.222 0.132
Tl 0.049 0.327 0.917
Tl 0.083 0.632 0.410
Tl 0.083 0.951 0.673
Tl 0.090 0.722 0.673
Tl 0.090 0.868 0.417
Tl 0.132 0.049 0.222
Tl 0.132 0.583 0.910
Tl 0.173 0.222 0.590
Tl 0.173 0.451 0.583
Tl 0.222 0.132 0.049
Tl 0.222 0.590 0.173
Tl 0.278 0.327 0.910
Tl 0.278 0.451 0.368
Tl 0.327 0.910 0.278
Tl 0.327 0.917 0.049
Tl 0.368 0.278 0.451
Tl 0.368 0.590 0.917
Tl 0.410 0.083 0.632
Tl 0.410 0.827 0.778
Tl 0.417 0.090 0.868
Tl 0.417 0.827 0.549
Tl 0.451 0.368 0.278
Tl 0.451 0.583 0.173
Tl 0.549 0.417 0.827
Tl 0.549 0.632 0.722
Tl 0.583 0.173 0.451
Tl 0.583 0.910 0.132
Tl 0.590 0.173 0.222
Tl 0.590 0.917 0.368
Tl 0.632 0.410 0.083
Tl 0.632 0.722 0.549
Tl 0.673 0.083 0.951
Tl 0.673 0.090 0.722
Tl 0.722 0.549 0.632
Tl 0.722 0.673 0.090
Tl 0.778 0.410 0.827
Tl 0.778 0.868 0.951
Tl 0.827 0.549 0.417
Tl 0.827 0.778 0.410
Tl 0.868 0.417 0.090
Tl 0.868 0.951 0.778
Tl 0.910 0.132 0.583
Tl 0.910 0.278 0.327
Tl 0.917 0.049 0.327
Tl 0.917 0.368 0.590
Tl 0.951 0.673 0.083
Tl 0.951 0.778 0.868
As 0.125 0.250 0.375
As 0.125 0.375 0.750
As 0.250 0.375 0.125
As 0.250 0.875 0.625
As 0.375 0.125 0.250
As 0.375 0.750 0.125
As 0.625 0.250 0.875
As 0.625 0.875 0.750
As 0.750 0.125 0.375
As 0.750 0.625 0.875
As 0.875 0.625 0.250
As 0.875 0.750 0.625
P 0.000 0.000 0.000
P 0.000 0.000 0.500
P 0.000 0.500 0.000
P 0.000 0.500 0.500
P 0.125 0.750 0.875
P 0.125 0.875 0.250
P 0.250 0.125 0.875
P 0.250 0.625 0.375
P 0.375 0.250 0.625
P 0.375 0.625 0.750
P 0.500 0.000 0.000
P 0.500 0.000 0.500
P 0.500 0.500 0.000
P 0.500 0.500 0.500
P 0.625 0.375 0.250
P 0.625 0.750 0.375
P 0.750 0.375 0.625
P 0.750 0.875 0.125
P 0.875 0.125 0.750
P 0.875 0.250 0.125


This record from Alexandria via LeMat-Bulk describes a geometry-optimized NaYI2 structure. The functional is PBE.

Summary:
SG	Fm-3m (225)
energy relative to the elements, uncorrected	-0.65	eV/atom
total energy	-3.367	eV/atom
total magnetic moment	1.7	μB per formula unit

Unit cell a=5.520 b=5.520 c=5.520 alpha=60.00 beta=60.00 gamma=60.00
Fractional positions:
Na 0.000 0.000 0.000
Y 0.500 0.500 0.500
I 0.250 0.250 0.250
I 0.750 0.750 0.750


This record from Alexandria via LeMat-Bulk describes a geometry-optimized Ce2TiSn structure. The functional is PBE.

Summary:
DFT formation energy	-87	meV per atom
SG	Fm-3m (225)
total energy	-6.028	eV/atom
total magnetic moment	4.3	μB per formula unit

Unit cell a=5.322 b=5.322 c=5.322 alpha=60.00 beta=60.00 gamma=60.00
Fractional positions:
Ce 0.250 0.250 0.250
Ce 0.750 0.750 0.750
Ti 0.000 0.000 0.000
Sn 0.500 0.500 0.500


What did the fourth record say?
This record from Alexandria via LeMat-Bulk describes a geometry-optimized AlZn structure. The functional is PBE.

Summary:
DFT formation energy	17	meV per atom
SG	Cm (8)
total energy	-2.492	eV/atom
total magnetic moment	0.0	μB per formula unit

Unit cell a=6.384 b=6.384 c=5.663 alpha=105.00 beta=105.00 gamma=25.39
Fractional positions:
Al 0.000 0.000 0.000
Al 0.000 0.000 0.499
Al 0.671 0.671 0.835
Zn 0.333 0.333 0.665
Zn 0.334 0.334 0.168
Zn 0.668 0.668 0.334